Compound: Ba2AlSiP
Source: Alexandria
Functional: PBE-GGA
Structure: relaxed

a b c (Å): 7.9894 4.3734 9.8677
angles (deg): 90.00 106.93 90.00
Space group P2_1/m (No. 11)
Unique sites:
Ba: 0.1996 0.2500 0.4103 x2
Ba: 0.2275 0.2500 0.9536 x2
Al: 0.4788 0.7500 0.2589 x2
Si: 0.3521 0.7500 0.7026 x2
P: 0.1781 0.7500 0.1757 x2

Computed properties:
The value obtained for the density of states at the Fermi level is 0.2 states/eV/cell. The calculation puts the calculated total energy at -42.9 eV for the cell shown.

=====

Compound: BaTa2AlP
Source: Alexandria
Functional: PBE-GGA
Structure: relaxed

a b c (Å): 4.9865 4.9865 4.9331
angles (deg): 90.00 90.00 90.00
Space group P4/mmm (No. 123)
Unique sites:
Ba: 0.0000 0.0000 0.0000 x1
Ta: 0.0000 0.5000 0.5000 x2
Al: 0.5000 0.5000 0.5000 x1
P: 0.5000 0.5000 0.0000 x1

Computed properties:
The value obtained for the density of states at the Fermi level is 5.4 states/eV/cell. Its energy of formation from the pure elements is 1.149 eV/atom. The calculation puts the calculated total energy at -29.0 eV for the cell shown.

=====

Compound: Ba2AlTcP
Source: Alexandria
Functional: PBE-GGA
Structure: relaxed

a b c (Å): 6.1841 6.1841 4.4809
angles (deg): 90.00 90.00 90.00
Space group P4/mmm (No. 123)
Unique sites:
Ba: 0.0000 0.5000 0.0000 x2
Al: 0.0000 0.0000 0.5000 x1
Tc: 0.5000 0.5000 0.5000 x1
P: 0.5000 0.5000 0.0000 x1

Computed properties:
The value obtained for the density of states at the Fermi level is 4.9 states/eV/cell. Its energy of formation from the pure elements is 0.070 eV/atom. The calculation puts the calculated total energy at -23.0 eV for the cell shown.